Entry 1:
Here is a relaxed NaSb2AuI crystal from the Alexandria database. Energies are from PBE.

Calculated values
For the density of states at the Fermi level, the calculation gives 1.067 states/eV per atom. The calculation puts the volume at 166 Å³ per cell. As for the uncorrected formation energy: 0.8284 eV per atom. The calculation puts the total magnetization at 0.000 μB/cell.

Unit cell a=5.4986 b=5.4986 c=5.5060 alpha=90.00 beta=90.00 gamma=90.00
Atoms (fractional coordinates):
I: 0.0000 0.0000 0.5000
Sb: 0.0000 0.5000 0.0000
Sb: 0.5000 0.0000 0.0000
Au: 0.5000 0.5000 0.5000
Na: 0.0000 0.0000 0.0000

***

Entry 2:
Here is a relaxed Na2SbAuI crystal from the Alexandria database. Energies are from PBE.

Calculated values
For the density of states at the Fermi level, the calculation gives 0.729 states/eV per atom. The calculation puts the volume at 171 Å³ per cell. As for the uncorrected formation energy: 0.1073 eV per atom. The calculation puts the total magnetization at 0.000 μB/cell.

Unit cell a=5.5699 b=5.5096 c=5.5699 alpha=90.00 beta=90.00 gamma=90.00
Atoms (fractional coordinates):
I: 0.0000 0.5000 0.0000
Sb: 0.5000 0.5000 0.5000
Au: 0.0000 0.0000 0.0000
Na: 0.0000 0.0000 0.5000
Na: 0.5000 0.0000 0.0000

***

Entry 3:
Here is a relaxed NaSbAuI2 crystal from the Alexandria database. Energies are from PBE.

Calculated values
For the density of states at the Fermi level, the calculation gives 1.427 states/eV per atom. The calculation puts the volume at 189 Å³ per cell. As for the uncorrected formation energy: 0.5860 eV per atom. The calculation puts the total magnetization at 1.426 μB/cell.

Unit cell a=5.6294 b=5.6294 c=5.9777 alpha=90.00 beta=90.00 gamma=90.00
Site moments in Bohr magnetons follow the coordinates.
Atoms (fractional coordinates):
I: 0.0000 0.5000 0.0000  0.08
I: 0.5000 0.0000 0.0000  0.08
Sb: 0.0000 0.0000 0.5000  0.53
Au: 0.5000 0.5000 0.5000  -0.05
Na: 0.0000 0.0000 0.0000  0.01

***

Entry 4:
Here is a relaxed Na2AuSeI crystal from the Alexandria database. Energies are from PBE.

Calculated values
For the density of states at the Fermi level, the calculation gives 0.144 states/eV per atom. The calculation puts the volume at 158 Å³ per cell. As for the uncorrected formation energy: -0.7035 eV per atom. The calculation puts the total magnetization at 0.000 μB/cell.

Unit cell a=5.6983 b=5.6983 c=4.8709 alpha=90.00 beta=90.00 gamma=90.00
Atoms (fractional coordinates):
I: 0.5000 0.5000 0.5000
Na: 0.0000 0.5000 0.0000
Na: 0.5000 0.0000 0.0000
Au: 0.0000 0.0000 0.5000
Se: 0.0000 0.0000 0.0000

***

Entry 5:
Here is a relaxed NaTe2AuI crystal from the Alexandria database. Energies are from PBE.

Calculated values
For the density of states at the Fermi level, the calculation gives 1.257 states/eV per atom. The calculation puts the volume at 179 Å³ per cell. As for the uncorrected formation energy: -0.0334 eV per atom. The calculation puts the total magnetization at 0.000 μB/cell.

Unit cell a=5.5140 b=5.5140 c=5.8714 alpha=90.00 beta=90.00 gamma=90.00
Atoms (fractional coordinates):
I: 0.0000 0.0000 0.5000
Na: 0.5000 0.5000 0.5000
Te: 0.0000 0.5000 0.0000
Te: 0.5000 0.0000 0.0000
Au: 0.0000 0.0000 0.0000

***

Entry 6:
Here is a relaxed NaTeAuI2 crystal from the Alexandria database. Energies are from PBE.

Calculated values
For the density of states at the Fermi level, the calculation gives 1.077 states/eV per atom. The calculation puts the volume at 197 Å³ per cell. As for the uncorrected formation energy: 0.4904 eV per atom. The calculation puts the total magnetization at 2.130 μB/cell.

Unit cell a=5.7768 b=5.7768 c=5.8911 alpha=90.00 beta=90.00 gamma=90.00
Site moments in Bohr magnetons follow the coordinates.
Atoms (fractional coordinates):
I: 0.0000 0.5000 0.0000  0.25
I: 0.5000 0.0000 0.0000  0.25
Na: 0.0000 0.0000 0.0000  0.00
Te: 0.0000 0.0000 0.5000  0.79
Au: 0.5000 0.5000 0.5000  -0.03

***

Entry 7:
Here is a relaxed NaTe2AuI crystal from the Alexandria database. Energies are from PBE.

Calculated values
For the density of states at the Fermi level, the calculation gives 1.536 states/eV per atom. The calculation puts the volume at 175 Å³ per cell. As for the uncorrected formation energy: 0.6788 eV per atom. The calculation puts the total magnetization at 0.000 μB/cell.

Unit cell a=5.5615 b=5.5615 c=5.6436 alpha=90.00 beta=90.00 gamma=90.00
Atoms (fractional coordinates):
I: 0.0000 0.0000 0.5000
Na: 0.0000 0.0000 0.0000
Te: 0.0000 0.5000 0.0000
Te: 0.5000 0.0000 0.0000
Au: 0.5000 0.5000 0.5000

***

Entry 8:
Here is a relaxed NaTeAuI2 crystal from the Alexandria database. Energies are from PBE.

Calculated values
For the density of states at the Fermi level, the calculation gives 1.266 states/eV per atom. The calculation puts the volume at 186 Å³ per cell. As for the uncorrected formation energy: -0.1676 eV per atom. The calculation puts the total magnetization at 0.577 μB/cell.

Unit cell a=5.7897 b=5.7897 c=5.5360 alpha=90.00 beta=90.00 gamma=90.00
Site moments in Bohr magnetons follow the coordinates.
Atoms (fractional coordinates):
I: 0.0000 0.5000 0.0000  0.04
I: 0.5000 0.0000 0.0000  0.04
Na: 0.5000 0.5000 0.5000  0.00
Te: 0.0000 0.0000 0.5000  0.23
Au: 0.0000 0.0000 0.0000  0.02

***

Entry 9:
Here is a relaxed NaTl2Au2I6 crystal from the Alexandria database. Energies are from PBE.

Calculated values
For the density of states at the Fermi level, the calculation gives 0.491 states/eV per atom. The calculation puts the volume at 454 Å³ per cell. As for the uncorrected formation energy: -0.4108 eV per atom. The calculation puts the total magnetization at 0.000 μB/cell.

Unit cell a=7.7855 b=8.6776 c=8.7986 alpha=117.57 beta=90.00 gamma=116.65
Atoms (fractional coordinates):
Na: 0.5000 0.0000 0.5000
Tl: 0.7485 0.4970 0.2267
Tl: 0.2515 0.5030 0.7733
Au: 0.9480 0.8959 0.7886
Au: 0.0520 0.1041 0.2114
I: 0.7483 0.4967 0.6298
I: 0.1815 0.8446 0.1667
I: 0.3369 0.1554 0.8333
I: 0.8185 0.1554 0.8333
I: 0.6631 0.8446 0.1667
I: 0.2517 0.5033 0.3702

***

Entry 10:
Here is a relaxed NaTlAuI4 crystal from the Alexandria database. Energies are from PBE.

Calculated values
For the density of states at the Fermi level, the calculation gives 0.263 states/eV per atom. The calculation puts the volume at 566 Å³ per cell. As for the uncorrected formation energy: -0.4944 eV per atom. The calculation puts the total magnetization at 0.000 μB/cell.

Unit cell a=8.0298 b=6.9317 c=10.6119 alpha=90.00 beta=106.66 gamma=90.00
Atoms (fractional coordinates):
Na: 0.6525 0.7500 0.3708
Na: 0.3475 0.2500 0.6292
Tl: 0.7140 0.7500 0.9642
Tl: 0.2860 0.2500 0.0358
Au: 0.1871 0.7500 0.4164
Au: 0.8129 0.2500 0.5836
I: 0.0393 0.5104 0.7286
I: 0.9607 0.0104 0.2714
I: 0.9607 0.4896 0.2714
I: 0.0393 0.9896 0.7286
I: 0.3897 0.7500 0.0964
I: 0.6103 0.2500 0.9036
I: 0.4803 0.7500 0.6079
I: 0.5197 0.2500 0.3921

***

Entry 11:
Here is a relaxed Na2TlAuI crystal from the Alexandria database. Energies are from PBE.

Calculated values
For the density of states at the Fermi level, the calculation gives 0.539 states/eV per atom. The calculation puts the volume at 198 Å³ per cell. As for the uncorrected formation energy: -0.0943 eV per atom. The calculation puts the total magnetization at 0.000 μB/cell.

Unit cell a=6.1827 b=6.1827 c=5.1796 alpha=90.00 beta=90.00 gamma=90.00
Atoms (fractional coordinates):
I: 0.5000 0.5000 0.5000
Na: 0.0000 0.5000 0.0000
Na: 0.5000 0.0000 0.0000
Tl: 0.0000 0.0000 0.0000
Au: 0.0000 0.0000 0.5000

***

Entry 12:
Here is a relaxed NbAuI6 crystal from the Alexandria database. Energies are from PBE.

Calculated values
The calculation puts the volume at 368 Å³ per cell. As for the uncorrected formation energy: -0.2820 eV per atom. The calculation puts the total magnetization at 0.000 μB/cell.

Unit cell a=8.5997 b=6.8857 c=10.0090 alpha=53.86 beta=50.20 gamma=66.98
Atoms (fractional coordinates):
Nb: 0.0000 0.0000 0.0000
Au: 0.5000 0.5000 0.5000
I: 0.1283 0.4634 0.6400
I: 0.8108 0.9240 0.8973
I: 0.6553 0.2220 0.1949
I: 0.1892 0.0760 0.1027
I: 0.8717 0.5366 0.3600
I: 0.3447 0.7780 0.8051